a) Here is a crystal of TaPO5 relaxed with PBEsol from Alexandria via LeMat-Bulk. Energies are from SCAN.

Structure (CIF):
```
data_TaPO5
_chemical_formula_sum 'Ta4 P4 O20'
_cell_length_a 6.735
_cell_length_b 5.374
_cell_length_c 11.350
_cell_angle_alpha 90.00
_cell_angle_beta 90.02
_cell_angle_gamma 90.00
_space_group_name_H-M_alt 'P 1 21/m 1'
_space_group_IT_number 11
loop_
_space_group_symop_operation_xyz
'x,y,z'
'-x,-y,-z'
'-x,y+1/2,-z'
'x,-y+1/2,z'
loop_
_atom_site_label
_atom_site_fract_x
_atom_site_fract_y
_atom_site_fract_z
Ta1 0.169 0.250 0.063
Ta2 0.331 0.250 0.563
P1 0.028 0.750 0.654
P2 0.472 0.750 0.154
O1 0.000 0.000 0.000
O2 0.031 0.250 0.215
O3 0.148 0.515 0.628
O4 0.163 0.250 0.420
O5 0.336 0.250 0.920
O6 0.353 0.515 0.128
O7 0.470 0.250 0.715
O8 0.500 0.000 0.500
```

b) Here is a crystal of TaPO5 relaxed with PBEsol from Alexandria via LeMat-Bulk. Energies are from SCAN.

Structure (CIF):
```
data_TaPO5
_chemical_formula_sum 'Ta2 P2 O10'
_cell_length_a 6.471
_cell_length_b 6.471
_cell_length_c 3.975
_cell_angle_alpha 90.00
_cell_angle_beta 90.00
_cell_angle_gamma 90.00
_space_group_name_H-M_alt 'P 4/n m m'
_space_group_IT_number 129
loop_
_space_group_symop_operation_xyz
'x,y,z'
'-x,-y,-z'
'-y+1/2,x,z'
'y+1/2,-x,-z'
'-x+1/2,-y+1/2,z'
'x+1/2,y+1/2,-z'
'y,-x+1/2,z'
'-y,x+1/2,-z'
'x+1/2,-y,-z'
'-x+1/2,y,z'
'-y,-x,-z'
'y,x,z'
'-x,y+1/2,-z'
'x,-y+1/2,z'
'y+1/2,x+1/2,-z'
'-y+1/2,-x+1/2,z'
loop_
_atom_site_label
_atom_site_fract_x
_atom_site_fract_y
_atom_site_fract_z
Ta1 0.250 0.250 0.237
P1 0.250 0.750 0.500
O1 0.055 0.750 0.720
O2 0.250 0.250 0.775
```

b) is the least stable structure shown above.